1.
An optimized crystal structure of LuZnFePb. Source: the Open Quantum Materials Database, functional PBE-GGA.

Calculated values
- raw total energy (eV/atom) = -4.3083
- E above lowest polymorph (meV/atom) = 22.4

Cell and atoms, written as extended XYZ:
```
4
Lattice="0.000 3.395 3.395 3.395 0.000 3.395 3.395 3.395 0.000" Properties=species:S:1:pos:R:3 pbc="T T T"
Fe 5.092 5.092 5.092
Lu 3.395 3.395 3.395
Pb 0.000 0.000 0.000
Zn 1.697 1.697 1.697
```

2.
An optimized crystal structure of InCu2Pb. Source: the Open Quantum Materials Database, functional PBE-GGA.

Calculated values
- raw total energy (eV/atom) = -3.2428

Cell and atoms, written as extended XYZ:
```
16
Lattice="-5.433 -1.502 3.770 3.387 -5.149 2.829 2.236 4.150 4.876" Properties=species:S:1:pos:R:3 pbc="T T T"
Cu 0.051 -0.675 3.097
Cu -2.450 -1.367 4.832
Cu 1.610 -3.045 4.399
Cu -0.891 -3.737 6.134
Cu 1.080 1.235 5.341
Cu -1.421 0.543 7.076
Cu 2.639 -1.135 6.643
Cu 0.139 -1.827 8.378
In -1.023 -3.326 3.300
In -1.599 1.324 4.323
In 2.811 -0.500 3.852
In 0.095 -1.251 5.737
Pb 0.000 0.000 0.000
Pb -2.717 -0.751 1.885
Pb 1.694 -2.575 1.415
Pb 1.118 2.075 2.438
```

Question: raw total energy of number 1 (LuZnFePb)?
Answer: -4.3083 eV/atom

Question: Which of these has the lowest raw total energy?
Answer: LuZnFePb